{"formula": "CeErCu2", "functional": "PBE-GGA", "state": "optimized geometry", "sg": "P2_1/m, No. 11", "total_energy_ev_per_cell": -38.655, "dos_at_fermi_per_ev_cell": 13.176, "relative_energy_mev_per_atom": 0.0, "formation_energy_ev_per_atom": -0.16, "cell": [[4.413, 0.000, 0.000], [0.000, 5.495, -1.249], [0.000, -1.506, 7.462]], "species": ["Ce", "Ce", "Er", "Er", "Cu", "Cu", "Cu", "Cu"], "fractional_positions": [[0.750, 0.520, 0.825], [0.250, 0.480, 0.175], [0.750, 0.052, 0.325], [0.250, 0.948, 0.675], [0.750, 0.089, 0.958], [0.250, 0.911, 0.042], [0.750, 0.615, 0.470], [0.250, 0.385, 0.530]]}

{"formula": "ScAlSe2", "functional": "PBE-GGA", "state": "optimized geometry", "sg": "R-3m, No. 166", "total_energy_ev_per_cell": -20.601, "dos_at_fermi_per_ev_cell": 0.118, "e_form_raw_ev_per_atom": -0.89, "cell": [[-6.193, -3.288, 4.768], [-3.665, -2.171, 7.332], [-6.101, 0.313, 5.880]], "species": ["Sc", "Al", "Se", "Se"], "fractional_positions": [[0.500, 0.500, 0.500], [0.000, 0.000, 0.000], [0.897, 0.897, 0.897], [0.103, 0.103, 0.103]]}

{"formula": "P2RuSeN", "functional": "PBE-GGA", "state": "optimized geometry", "sg": "Pm, No. 6", "total_energy_ev_per_cell": -31.638, "dos_at_fermi_per_ev_cell": 2.522, "relative_energy_mev_per_atom": 118.6, "e_form_raw_ev_per_atom": 0.05, "cell": [[-1.848, 0.652, 4.028], [2.561, -1.956, 1.492], [3.430, 3.737, -0.989]], "species": ["P", "P", "Ru", "Se", "N"], "fractional_positions": [[0.439, 0.000, 0.120], [0.237, 0.000, 0.578], [0.911, 0.500, 0.480], [0.025, 0.500, 0.026], [0.552, 0.000, 0.466]]}

{"formula": "Dy12Ho7Th", "functional": "PBE-GGA", "state": "optimized geometry", "sg": "Im-3, No. 204", "total_energy_ev_per_cell": -79.626, "dos_at_fermi_per_ev_cell": 26.756, "relative_energy_mev_per_atom": 511.7, "formation_energy_ev_per_atom": 0.75, "cell": [[-9.077, 0.799, -3.424], [3.715, -8.604, -2.631], [-0.127, 0.646, 9.712]], "species": ["Dy", "Dy", "Dy", "Dy", "Dy", "Dy", "Dy", "Dy", "Dy", "Dy", "Dy", "Dy", "Ho", "Ho", "Ho", "Ho", "Ho", "Ho", "Ho", "Th"], "fractional_positions": [[0.507, 0.753, 0.754], [0.999, 0.753, 0.246], [0.493, 0.247, 0.246], [0.001, 0.247, 0.754], [0.754, 0.001, 0.247], [0.754, 0.507, 0.753], [0.246, 0.999, 0.753], [0.246, 0.493, 0.247], [0.753, 0.754, 0.507], [0.247, 0.246, 0.493], [0.753, 0.246, 0.999], [0.247, 0.754, 0.001], [0.500, 0.500, 0.000], [0.000, 0.500, 0.500], [0.500, 0.000, 0.500], [0.500, 0.500, 0.500], [0.000, 0.000, 0.500], [0.500, 0.000, 0.000], [0.000, 0.500, 0.000], [0.000, 0.000, 0.000]]}

{"formula": "La5PrHg2", "functional": "PBE-GGA", "state": "optimized geometry", "sg": "Immm, No. 71", "total_energy_ev_per_cell": -31.481, "dos_at_fermi_per_ev_cell": 9.414, "relative_energy_mev_per_atom": 0.0, "formation_energy_ev_per_atom": -0.18, "cell": [[-1.468, -3.314, -1.184], [6.954, -4.428, -2.365], [0.889, -5.045, 6.879]], "species": ["La", "La", "La", "La", "La", "Pr", "Hg", "Hg"], "fractional_positions": [[0.000, 0.500, 0.500], [0.640, 0.578, 0.141], [0.360, 0.422, 0.859], [0.360, 0.859, 0.422], [0.640, 0.141, 0.578], [0.000, 0.000, 0.000], [0.728, 0.772, 0.772], [0.272, 0.228, 0.228]]}

{"formula": "HfTlTe2", "functional": "PBE-GGA", "state": "optimized geometry", "sg": "C2, No. 5", "total_energy_ev_per_cell": -21.100, "dos_at_fermi_per_ev_cell": 1.997, "e_form_raw_ev_per_atom": -0.62, "cell": [[-0.131, 2.986, -2.636], [-7.979, 4.881, 2.919], [2.775, 2.861, 0.090]], "species": ["Tl", "Te", "Te", "Hf"], "fractional_positions": [[0.215, 0.485, 0.547], [0.245, 0.788, 0.184], [0.183, 0.184, 0.911], [0.714, 0.986, 0.048]]}

{"formula": "TlCdO2F", "functional": "PBE-GGA", "state": "optimized geometry", "sg": "P2_1/m, No. 11", "total_energy_ev_per_cell": -41.351, "dos_at_fermi_per_ev_cell": 3.368, "e_form_raw_ev_per_atom": -1.12, "cell": [[3.605, 0.000, 0.000], [0.000, 6.440, -1.783], [0.000, -4.971, 7.898]], "species": ["Tl", "Tl", "Cd", "Cd", "O", "O", "O", "O", "F", "F"], "fractional_positions": [[0.250, 0.452, 0.128], [0.750, 0.548, 0.872], [0.250, 0.177, 0.378], [0.750, 0.823, 0.622], [0.750, 0.430, 0.590], [0.250, 0.570, 0.410], [0.750, 0.757, 0.197], [0.250, 0.243, 0.803], [0.250, 0.885, 0.028], [0.750, 0.115, 0.972]]}

{"formula": "BeCo2Ni6", "functional": "PBE-GGA", "state": "optimized geometry", "sg": "C2/m, No. 12", "total_energy_ev_per_cell": -53.049, "dos_at_fermi_per_ev_cell": 10.847, "formation_energy_ev_per_atom": -0.05, "cell": [[-2.194, 0.433, -1.087], [3.160, -3.042, -4.746], [-4.781, -1.555, 9.030]], "species": ["Be", "Co", "Co", "Ni", "Ni", "Ni", "Ni", "Ni", "Ni"], "fractional_positions": [[0.000, 0.000, 0.500], [0.667, 0.334, 0.835], [0.333, 0.666, 0.165], [0.328, 0.656, 0.830], [0.672, 0.344, 0.170], [0.002, 0.004, 0.170], [0.658, 0.317, 0.498], [0.998, 0.996, 0.830], [0.342, 0.683, 0.502]]}

{"formula": "TaTl2FeS4", "functional": "PBE-GGA", "state": "optimized geometry", "sg": "I-4, No. 82", "total_energy_ev_per_cell": -45.397, "dos_at_fermi_per_ev_cell": 5.691, "e_form_raw_ev_per_atom": -0.48, "cell": [[-5.580, -3.886, -1.331], [6.284, -1.506, -2.501], [3.090, 0.099, 6.201]], "species": ["Ta", "Tl", "Tl", "Fe", "S", "S", "S", "S"], "fractional_positions": [[0.000, 0.500, 0.500], [0.500, 0.750, 0.250], [0.000, 0.000, 0.000], [0.500, 0.250, 0.750], [0.609, 0.374, 0.488], [0.113, 0.235, 0.626], [0.887, 0.512, 0.122], [0.391, 0.878, 0.765]]}

{"formula": "Zn2Cr2Cd", "functional": "PBE-GGA", "state": "optimized geometry", "sg": "I4/mmm, No. 139", "total_energy_ev_per_cell": -19.727, "dos_at_fermi_per_ev_cell": 3.821, "relative_energy_mev_per_atom": 219.1, "formation_energy_ev_per_atom": 0.60, "cell": [[-1.517, -2.087, 2.808], [3.471, -1.282, 0.922], [1.627, 2.634, 5.425]], "species": ["Cr", "Cr", "Zn", "Zn", "Cd"], "fractional_positions": [[0.417, 0.417, 0.166], [0.583, 0.583, 0.834], [0.750, 0.250, 0.500], [0.250, 0.750, 0.500], [0.000, 0.000, 0.000]]}

{"formula": "CsTl8Se6", "functional": "PBE-GGA", "state": "optimized geometry", "sg": "R-3, No. 148", "total_energy_ev_per_cell": -45.446, "dos_at_fermi_per_ev_cell": 8.124, "e_form_raw_ev_per_atom": -0.32, "cell": [[8.442, 1.579, -0.054], [-0.064, 8.588, -0.054], [1.301, 1.579, 8.342]], "species": ["Cs", "Tl", "Tl", "Tl", "Tl", "Tl", "Tl", "Tl", "Tl", "Se", "Se", "Se", "Se", "Se", "Se"], "fractional_positions": [[0.000, 0.000, 0.000], [0.222, 0.222, 0.222], [0.778, 0.778, 0.778], [0.193, 0.472, 0.593], [0.593, 0.193, 0.472], [0.472, 0.593, 0.193], [0.807, 0.528, 0.407], [0.407, 0.807, 0.528], [0.528, 0.407, 0.807], [0.568, 0.264, 0.128], [0.128, 0.568, 0.264], [0.264, 0.128, 0.568], [0.432, 0.736, 0.872], [0.872, 0.432, 0.736], [0.736, 0.872, 0.432]]}

{"formula": "Np3Tl3HgSe8", "functional": "PBE-GGA", "state": "optimized geometry", "sg": "R-3m, No. 166", "total_energy_ev_per_cell": -85.374, "dos_at_fermi_per_ev_cell": 30.957, "e_form_raw_ev_per_atom": -0.75, "cell": [[8.305, 0.000, 0.000], [-4.153, 7.189, -0.029], [0.000, -4.757, 7.799]], "species": ["Np", "Np", "Np", "Tl", "Tl", "Tl", "Hg", "Se", "Se", "Se", "Se", "Se", "Se", "Se", "Se"], "fractional_positions": [[0.500, 0.000, 0.500], [0.500, 0.500, 0.500], [0.000, 0.500, 0.500], [0.000, 0.000, 0.000], [0.000, 0.500, 0.000], [0.500, 0.500, 0.000], [0.000, 0.000, 0.500], [0.265, 0.530, 0.296], [0.735, 0.470, 0.704], [0.759, 0.518, 0.296], [0.241, 0.482, 0.704], [0.759, 0.037, 0.295], [0.241, 0.963, 0.705], [0.278, 0.037, 0.295], [0.722, 0.963, 0.705]]}

{"formula": "CuAuSe", "functional": "PBE-GGA", "state": "optimized geometry", "sg": "Cmc2_1, No. 36", "total_energy_ev_per_cell": -21.424, "dos_at_fermi_per_ev_cell": 1.784, "e_form_raw_ev_per_atom": 0.05, "cell": [[3.646, 0.000, 0.000], [0.000, 5.185, 0.000], [-1.823, 0.000, 6.124]], "species": ["Cu", "Cu", "Au", "Au", "Se", "Se"], "fractional_positions": [[0.368, 0.365, 0.737], [0.632, 0.865, 0.263], [0.042, 0.522, 0.083], [0.958, 0.022, 0.917], [0.177, 0.153, 0.355], [0.823, 0.653, 0.645]]}

{"formula": "Pm2YCd2In2", "functional": "PBE-GGA", "state": "optimized geometry", "sg": "R-3m, No. 166", "total_energy_ev_per_cell": -25.240, "dos_at_fermi_per_ev_cell": 4.206, "formation_energy_ev_per_atom": -0.28, "cell": [[-3.473, -2.440, 2.550], [1.200, -4.079, 2.538], [1.060, 2.958, 9.082]], "species": ["Pm", "Pm", "Y", "Cd", "Cd", "In", "In"], "fractional_positions": [[0.128, 0.128, 0.617], [0.872, 0.872, 0.383], [0.000, 0.000, 0.000], [0.606, 0.606, 0.182], [0.394, 0.394, 0.818], [0.738, 0.738, 0.786], [0.262, 0.262, 0.214]]}

{"formula": "Zn2NiTe", "functional": "PBE-GGA", "state": "optimized geometry", "sg": "P4mm, No. 99", "total_energy_ev_per_cell": -10.957, "dos_at_fermi_per_ev_cell": 1.196, "relative_energy_mev_per_atom": 168.3, "e_form_raw_ev_per_atom": 0.13, "cell": [[3.524, 0.000, 0.000], [0.000, 3.524, 0.000], [0.000, 0.000, 5.540]], "species": ["Ni", "Te", "Zn", "Zn"], "fractional_positions": [[0.000, 0.000, 0.486], [0.500, 0.500, 0.727], [0.000, 0.000, 0.038], [0.500, 0.500, 0.249]]}

{"formula": "HfFe3Hg", "functional": "PBE-GGA", "state": "optimized geometry", "sg": "Pm-3m, No. 221", "total_energy_ev_per_cell": -28.646, "dos_at_fermi_per_ev_cell": 10.036, "relative_energy_mev_per_atom": 0.0, "formation_energy_ev_per_atom": 1.40, "cell": [[-1.528, 4.307, -0.575], [-3.172, -0.689, 3.267], [2.969, 1.480, 3.195]], "species": ["Hf", "Hg", "Fe", "Fe", "Fe"], "fractional_positions": [[0.000, 0.000, 0.000], [0.500, 0.500, 0.500], [0.000, 0.500, 0.000], [0.000, 0.000, 0.500], [0.500, 0.000, 0.000]]}

{"formula": "Cu3As2", "functional": "PBE-GGA", "state": "optimized geometry", "sg": "Fdd2, No. 43", "total_energy_ev_per_cell": -42.146, "dos_at_fermi_per_ev_cell": 2.442, "relative_energy_mev_per_atom": 0.0, "formation_energy_ev_per_atom": 0.10, "cell": [[0.000, 5.925, 9.902], [1.296, 0.000, 9.902], [1.296, 5.925, 0.000]], "species": ["Cu", "Cu", "Cu", "Cu", "Cu", "Cu", "As", "As", "As", "As"], "fractional_positions": [[0.396, 0.697, 0.236], [0.670, 0.236, 0.697], [0.553, 0.854, 0.580], [0.014, 0.580, 0.854], [0.997, 0.003, 0.003], [0.247, 0.253, 0.253], [0.678, 0.483, 0.580], [0.258, 0.580, 0.483], [0.767, 0.572, 0.992], [0.670, 0.992, 0.572]]}

{"formula": "CuRu", "functional": "PBE-GGA", "state": "optimized geometry", "sg": "Fm-3m, No. 225", "total_energy_ev_per_cell": -11.101, "dos_at_fermi_per_ev_cell": 1.703, "formation_energy_ev_per_atom": 1.14, "cell": [[-2.909, -0.641, -1.833], [-0.904, -3.294, -0.751], [-2.769, -1.454, 1.566]], "species": ["Cu", "Ru"], "fractional_positions": [[0.000, 0.000, 0.000], [0.500, 0.500, 0.500]]}

{"formula": "CdNi3Pd", "functional": "PBE-GGA", "state": "optimized geometry", "sg": "Pm-3m, No. 221", "total_energy_ev_per_cell": -18.225, "dos_at_fermi_per_ev_cell": 12.792, "relative_energy_mev_per_atom": 0.0, "formation_energy_ev_per_atom": 1.05, "cell": [[4.580, 0.000, 0.000], [0.000, 4.580, 0.000], [0.000, 0.000, 4.580]], "species": ["Ni", "Ni", "Ni", "Pd", "Cd"], "fractional_positions": [[0.000, 0.500, 0.000], [0.000, 0.000, 0.500], [0.500, 0.000, 0.000], [0.000, 0.000, 0.000], [0.500, 0.500, 0.500]]}

{"formula": "Nd6Ho2Zn", "functional": "PBE-GGA", "state": "optimized geometry", "sg": "Pnnm, No. 58", "total_energy_ev_per_cell": -77.916, "dos_at_fermi_per_ev_cell": 26.135, "formation_energy_ev_per_atom": 0.01, "cell": [[0.208, -2.802, 4.691], [-2.647, -8.600, -5.019], [9.965, -2.084, -1.685]], "species": ["Nd", "Nd", "Nd", "Nd", "Nd", "Nd", "Nd", "Nd", "Nd", "Nd", "Nd", "Nd", "Ho", "Ho", "Ho", "Ho", "Zn", "Zn"], "fractional_positions": [[0.000, 0.040, 0.188], [0.000, 0.687, 0.543], [0.000, 0.623, 0.879], [0.500, 0.123, 0.621], [0.500, 0.187, 0.957], [0.500, 0.540, 0.312], [0.000, 0.960, 0.812], [0.000, 0.313, 0.457], [0.000, 0.377, 0.121], [0.500, 0.877, 0.379], [0.500, 0.813, 0.043], [0.500, 0.460, 0.688], [0.000, 0.286, 0.783], [0.500, 0.786, 0.717], [0.500, 0.214, 0.283], [0.000, 0.714, 0.217], [0.500, 0.500, 0.000], [0.000, 0.000, 0.500]]}